1.
DFT (PBE-GGA) results for a geometry-optimized BaAu2F12 structure.

abc: 9.768 9.768 9.768
angles: 90.00 90.00 90.00
Atoms (fractional coordinates):
Ba (0.000, 0.000, 0.000)
Ba (0.000, 0.000, 0.500)
Ba (0.000, 0.500, 0.000)
Ba (0.500, 0.000, 0.000)
Au (0.220, 0.220, 0.780)
Au (0.220, 0.780, 0.220)
Au (0.291, 0.291, 0.291)
Au (0.291, 0.709, 0.709)
Au (0.709, 0.291, 0.709)
Au (0.709, 0.709, 0.291)
Au (0.780, 0.220, 0.220)
Au (0.780, 0.780, 0.780)
F (0.083, 0.083, 0.733)
F (0.083, 0.267, 0.917)
F (0.083, 0.733, 0.083)
F (0.083, 0.917, 0.267)
F (0.145, 0.348, 0.652)
F (0.145, 0.652, 0.348)
F (0.158, 0.158, 0.363)
F (0.158, 0.363, 0.158)
F (0.158, 0.637, 0.842)
F (0.158, 0.842, 0.637)
F (0.220, 0.419, 0.419)
F (0.220, 0.581, 0.581)
F (0.267, 0.083, 0.917)
F (0.267, 0.917, 0.083)
F (0.348, 0.145, 0.652)
F (0.348, 0.348, 0.855)
F (0.348, 0.652, 0.145)
F (0.348, 0.855, 0.348)
F (0.363, 0.158, 0.158)
F (0.363, 0.842, 0.842)
F (0.419, 0.220, 0.419)
F (0.419, 0.419, 0.220)
F (0.419, 0.581, 0.780)
F (0.419, 0.780, 0.581)
F (0.581, 0.220, 0.581)
F (0.581, 0.419, 0.780)
F (0.581, 0.581, 0.220)
F (0.581, 0.780, 0.419)
F (0.637, 0.158, 0.842)
F (0.637, 0.842, 0.158)
F (0.652, 0.145, 0.348)
F (0.652, 0.348, 0.145)
F (0.652, 0.652, 0.855)
F (0.652, 0.855, 0.652)
F (0.733, 0.083, 0.083)
F (0.733, 0.917, 0.917)
F (0.780, 0.419, 0.581)
F (0.780, 0.581, 0.419)
F (0.842, 0.158, 0.637)
F (0.842, 0.363, 0.842)
F (0.842, 0.637, 0.158)
F (0.842, 0.842, 0.363)
F (0.855, 0.348, 0.348)
F (0.855, 0.652, 0.652)
F (0.917, 0.083, 0.267)
F (0.917, 0.267, 0.083)
F (0.917, 0.733, 0.917)
F (0.917, 0.917, 0.733)

Computed properties:
Symmetry   P-43m, No. 215
Electronic total energy   -3.469 eV per atom


2.
DFT (PBE-GGA) results for a geometry-optimized BaTe2Au2F2 structure.

abc: 4.025 4.025 9.722
angles: 90.00 90.00 90.00
Atoms (fractional coordinates):
Ba (0.000, 0.000, 0.000)
Te (0.000, 0.500, 0.278)
Te (0.500, 0.000, 0.722)
Au (0.000, 0.500, 0.677)
Au (0.500, 0.000, 0.323)
F (0.000, 0.000, 0.500)
F (0.500, 0.500, 0.500)

Computed properties:
Symmetry   P-4m2, No. 115
Electronic total energy   -3.263 eV per atom


3.
DFT (PBE-GGA) results for a geometry-optimized BaFe2Au structure.

abc: 4.995 4.995 4.995
angles: 60.00 60.00 60.00
Atoms (fractional coordinates):
Ba (0.000, 0.000, 0.000)
Fe (0.500, 0.500, 0.500)
Fe (0.750, 0.750, 0.750)
Au (0.250, 0.250, 0.250)

Computed properties:
Total magnetization   1.488 μB per atom
Symmetry   F-43m, No. 216
Electronic total energy   -4.757 eV per atom


4.
DFT (PBE-GGA) results for a geometry-optimized BaFeReAu structure.

abc: 4.949 4.949 4.949
angles: 60.00 60.00 60.00
Atoms (fractional coordinates):
Ba (0.000, 0.000, 0.000)
Fe (0.750, 0.750, 0.750)
Re (0.500, 0.500, 0.500)
Au (0.250, 0.250, 0.250)

Computed properties:
Total magnetization   1.206 μB per atom
Symmetry   F-43m, No. 216
Electronic total energy   -5.367 eV per atom
Energy above the lowest structure with this stoichiometry   0.0000 eV per atom


5.
DFT (PBE-GGA) results for a geometry-optimized BaFeReAu structure.

abc: 4.921 4.921 4.921
angles: 60.00 60.00 60.00
Atoms (fractional coordinates):
Ba (0.000, 0.000, 0.000)
Fe (0.500, 0.500, 0.500)
Re (0.250, 0.250, 0.250)
Au (0.750, 0.750, 0.750)

Computed properties:
Total magnetization   1.061 μB per atom
Symmetry   F-43m, No. 216
Electronic total energy   -5.272 eV per atom
Energy above the lowest structure with this stoichiometry   0.0951 eV per atom


6.
DFT (PBE-GGA) results for a geometry-optimized BaFeReAu structure.

abc: 4.839 4.839 4.839
angles: 60.00 60.00 60.00
Atoms (fractional coordinates):
Ba (0.000, 0.000, 0.000)
Fe (0.250, 0.250, 0.250)
Re (0.750, 0.750, 0.750)
Au (0.500, 0.500, 0.500)

Computed properties:
Total magnetization   1.071 μB per atom
Symmetry   F-43m, No. 216
Electronic total energy   -5.192 eV per atom
Energy above the lowest structure with this stoichiometry   0.1745 eV per atom


7.
DFT (PBE-GGA) results for a geometry-optimized Ba2FeAuS6 structure.

abc: 6.854 6.854 6.854
angles: 60.00 60.00 60.00
Atoms (fractional coordinates):
Ba (0.250, 0.250, 0.250)
Ba (0.750, 0.750, 0.750)
Fe (0.000, 0.000, 0.000)
Au (0.500, 0.500, 0.500)
S (0.242, 0.242, 0.758)
S (0.242, 0.758, 0.242)
S (0.242, 0.758, 0.758)
S (0.758, 0.242, 0.242)
S (0.758, 0.242, 0.758)
S (0.758, 0.758, 0.242)

Computed properties:
Total magnetization   0.366 μB per atom
Symmetry   Fm-3m, No. 225
Electronic total energy   -4.735 eV per atom


8.
DFT (PBE-GGA) results for a geometry-optimized BaFeTcAu structure.

abc: 4.921 4.921 4.921
angles: 60.00 60.00 60.00
Atoms (fractional coordinates):
Ba (0.000, 0.000, 0.000)
Fe (0.500, 0.500, 0.500)
Tc (0.250, 0.250, 0.250)
Au (0.750, 0.750, 0.750)

Computed properties:
Total magnetization   1.067 μB per atom
Symmetry   F-43m, No. 216
Electronic total energy   -5.052 eV per atom
Energy above the lowest structure with this stoichiometry   0.0240 eV per atom


9.
DFT (PBE-GGA) results for a geometry-optimized BaFeTcAu structure.

abc: 4.855 4.855 4.855
angles: 60.00 60.00 60.00
Atoms (fractional coordinates):
Ba (0.000, 0.000, 0.000)
Fe (0.250, 0.250, 0.250)
Tc (0.750, 0.750, 0.750)
Au (0.500, 0.500, 0.500)

Computed properties:
Total magnetization   1.165 μB per atom
Symmetry   F-43m, No. 216
Electronic total energy   -4.996 eV per atom
Energy above the lowest structure with this stoichiometry   0.0796 eV per atom


10.
DFT (PBE-GGA) results for a geometry-optimized BaFeTcAu structure.

abc: 4.964 4.964 4.964
angles: 60.00 60.00 60.00
Atoms (fractional coordinates):
Ba (0.000, 0.000, 0.000)
Fe (0.750, 0.750, 0.750)
Tc (0.500, 0.500, 0.500)
Au (0.250, 0.250, 0.250)

Computed properties:
Total magnetization   1.179 μB per atom
Symmetry   F-43m, No. 216
Electronic total energy   -5.076 eV per atom
Energy above the lowest structure with this stoichiometry   0.0000 eV per atom


11.
DFT (PBE-GGA) results for a geometry-optimized BaFeTe3Au structure.

abc: 14.396 4.370 11.006
angles: 90.00 90.00 90.00
Atoms (fractional coordinates):
Ba (0.222, 0.250, 0.058)
Ba (0.278, 0.750, 0.558)
Ba (0.722, 0.250, 0.442)
Ba (0.778, 0.750, 0.942)
Fe (0.017, 0.250, 0.335)
Fe (0.483, 0.750, 0.835)
Fe (0.517, 0.250, 0.165)
Fe (0.983, 0.750, 0.665)
Te (0.085, 0.250, 0.564)
Te (0.108, 0.750, 0.847)
Te (0.137, 0.750, 0.279)
Te (0.363, 0.250, 0.779)
Te (0.392, 0.250, 0.347)
Te (0.415, 0.750, 0.064)
Te (0.585, 0.250, 0.936)
Te (0.608, 0.750, 0.653)
Te (0.637, 0.750, 0.221)
Te (0.863, 0.250, 0.721)
Te (0.892, 0.250, 0.153)
Te (0.915, 0.750, 0.436)
Au (0.010, 0.750, 0.086)
Au (0.490, 0.250, 0.586)
Au (0.510, 0.750, 0.414)
Au (0.990, 0.250, 0.914)

Computed properties:
Total magnetization   0.518 μB per atom
Symmetry   Pnma, No. 62
Electronic total energy   -4.286 eV per atom
Energy above the lowest structure with this stoichiometry   0.0000 eV per atom


12.
DFT (PBE-GGA) results for a geometry-optimized BaFeTe3Au structure.

abc: 7.793 7.793 11.045
angles: 90.00 90.00 148.42
Atoms (fractional coordinates):
Ba (0.232, 0.768, 0.750)
Ba (0.768, 0.232, 0.250)
Fe (0.000, 0.000, 0.000)
Fe (0.000, 0.000, 0.500)
Te (0.074, 0.926, 0.250)
Te (0.375, 0.625, 0.028)
Te (0.375, 0.625, 0.472)
Te (0.625, 0.375, 0.528)
Te (0.625, 0.375, 0.972)
Te (0.926, 0.074, 0.750)
Au (0.454, 0.546, 0.250)
Au (0.546, 0.454, 0.750)

Computed properties:
Total magnetization   0.649 μB per atom
Symmetry   Cmcm, No. 63
Electronic total energy   -4.236 eV per atom
Energy above the lowest structure with this stoichiometry   0.0498 eV per atom